(1)
K3TlO2, optimized geometry, DFT GGA-PBE; spin magnetization = 0.0 μB/cell; ΔE to the lowest computed polymorph = 0.000 eV per formula unit; E = -43.2 eV/cell; E_form (uncorrected) = -1.004 eV per atom
1.0
3.8308 -0.0016 0.7874
1.8973 6.8954 0.4664
-0.4755 -1.0532 11.7927
K O Tl
6 4 2
Cartesian
4.5167 4.8863 7.0273
1.8401 2.0983 0.7120
0.1192 -0.7179 8.9942
5.1333 6.5585 4.0523
0.7358 0.9544 6.0192
3.4124 3.7424 12.3345
2.3183 0.2630 8.0218
3.6340 1.3786 11.1820
2.9342 5.5777 5.0247
1.6185 4.4621 1.8645
2.0580 2.1421 9.3104
3.1945 3.6986 3.7361



(2)
K5TlO, optimized geometry, DFT GGA-PBE; spin magnetization = 2.2 μB/cell; E = -31.7 eV/cell; E_form (uncorrected) = -0.437 eV per atom
1.0
8.1288 1.1869 1.8347
2.9906 7.6513 1.8347
1.1300 0.8982 10.8948
K O Tl
10 2 2
Cartesian
8.4078 1.4158 4.5584
2.8036 5.0684 2.0690
3.3782 5.5158 7.5100
9.4457 4.6679 12.4952
5.5708 1.5972 2.0626
6.1353 2.0367 7.5164
3.8416 8.3205 10.0058
6.6785 8.1391 12.5016
6.1141 7.6996 7.0478
8.8712 4.2205 7.0542
0.0000 0.0000 0.0000
0.5650 0.4491 5.4474
6.4065 5.0936 10.0058
5.8429 4.6427 4.5584



(3)
KTlO2, optimized geometry, DFT GGA-PBE; spin magnetization = 0.0 μB/cell; E = -33.4 eV/cell; E_form (uncorrected) = -0.831 eV per atom
1.0
3.5313 -0.0005 0.0001
-0.6765 6.8184 -0.0007
-0.0985 -1.5626 6.9389
Tl K O
2 2 4
Cartesian
2.9772 -0.2862 6.7917
0.7809 3.9968 4.6382
2.3958 4.5046 1.6058
1.0805 0.7104 3.4492
2.1773 5.6553 4.5797
0.5134 3.6616 6.8646
2.7685 2.7837 3.7745
0.6712 6.4612 0.7434



(4)
KTlO2, optimized geometry, DFT GGA-PBE; spin magnetization = 0.0 μB/cell; E = -15.3 eV/cell; E_form (uncorrected) = -0.477 eV per atom
1.0
0.0000 3.0994 3.0994
3.0994 0.0000 3.0994
3.0994 3.0994 0.0000
O Tl K
2 1 1
Cartesian
4.6492 4.6492 4.6492
1.5497 1.5497 1.5497
3.0994 3.0994 3.0994
0.0000 0.0000 0.0000



(5)
K12Tl3O5, optimized geometry, DFT GGA-PBE; spin magnetization = 14.1 μB/cell; E = -223.9 eV/cell; E_form (uncorrected) = -0.546 eV per atom
1.0
15.4680 0.0000 0.0000
-5.1560 14.5834 0.0000
-5.1560 -7.2917 12.6296
Tl K O
12 48 20
Cartesian
11.6010 0.0000 3.1574
9.0230 10.0261 1.5787
1.2890 -0.9115 4.7361
-3.8670 -2.7344 11.0509
6.4450 0.9115 4.7361
3.8670 0.0000 9.4722
9.0230 4.5573 1.5787
-1.2890 6.3802 7.8935
-6.4450 7.2917 9.4722
3.8670 8.2032 7.8935
-3.8670 2.7344 11.0509
1.2890 7.2917 3.1574
-1.0954 -3.7027 8.5965
4.9084 2.9894 7.5582
8.8294 -5.3441 11.4394
7.9816 4.3945 5.1246
-1.4826 8.9330 5.2232
0.2476 4.3023 5.0714
5.7039 -4.9325 8.6498
6.3384 1.9783 11.3862
-1.1823 5.3133 1.2434
-3.6734 12.6358 1.1901
3.7603 5.2257 1.0916
6.5517 7.2041 2.3350
-4.6082 6.3113 6.2616
2.3304 10.2812 5.0714
-0.5479 12.2242 3.9798
6.2514 10.9944 4.0330
2.0302 4.9325 8.6498
-5.4036 10.1889 5.1246
3.1258 13.2046 2.2817
2.8256 5.8867 12.5764
3.7603 9.2700 1.2434
4.0606 5.6504 5.2232
2.0302 -5.9129 10.3478
-3.9737 7.3793 2.3350
10.5596 -2.8972 7.5049
6.2514 1.9476 1.1901
9.7642 0.9804 6.3680
5.7038 5.9129 10.3478
-3.6734 3.5890 4.0330
6.6386 -1.6413 7.4064
-1.3957 0.0876 10.2946
4.9084 -5.8867 12.5764
-2.8256 2.8972 7.5049
0.2476 13.1784 0.0532
1.3957 2.0660 11.5380
8.8294 3.7027 8.5965
2.8256 -2.9895 7.5582
-1.1823 9.3577 1.0916
3.1258 2.3592 3.9798
2.3304 1.4050 0.0532
1.3957 -1.9783 11.3862
-0.5478 1.3788 2.2817
6.3383 -2.0660 11.5380
-1.0954 5.3441 11.4394
-2.0301 -0.9804 6.3680
7.1862 8.2721 6.2616
9.1297 -0.0876 10.2946
1.0954 1.6413 7.4064
0.0000 0.0000 0.0000
2.5780 3.6458 6.3148
3.8670 10.9375 3.1574
6.4450 6.3802 4.7361
-5.1560 3.6458 6.3148
6.4450 -4.5573 11.0509
6.4450 3.6458 9.4722
-1.2890 11.8490 1.5787
5.1560 7.2917 0.0000
-1.2890 0.9115 7.8935
-3.8670 8.2032 4.7361
9.0230 -0.9115 7.8935
7.7340 0.0000 0.0000
-2.5780 7.2917 0.0000
1.2890 4.5573 11.0509
-2.5780 -3.6458 6.3148
1.2890 -3.6458 9.4722
3.8670 2.7344 1.5787
5.1560 -3.6458 6.3148
-1.2890 3.6458 3.1574



(6)
K3TlO2, optimized geometry, DFT GGA-PBE; spin magnetization = 0.0 μB/cell; ΔE to the lowest computed polymorph = 0.989 eV per formula unit; E = -41.2 eV/cell; E_form (uncorrected) = -0.839 eV per atom
1.0
4.1064 0.0000 0.0000
0.0000 6.3379 0.0000
0.0000 0.0000 12.2362
O K Tl
4 6 2
Cartesian
2.0532 1.3183 10.6748
0.0000 4.4873 7.6795
2.0532 5.0196 1.5614
0.0000 1.8506 4.5567
2.0532 0.9301 3.1841
2.0532 5.4078 9.0521
0.0000 4.0991 2.9340
0.0000 2.2388 9.3022
0.0000 0.0000 0.0000
2.0532 3.1689 6.1181
0.0000 0.0000 6.1181
2.0532 3.1689 0.0000